## Ta2AlCoH (PBE-GGA)

Data for a relaxed Ta2AlCoH crystal.

Total energy = -7.73 eV/atom
M_tot = 0.22 Bohr magnetons per cell

Unit cell a=4.073 b=4.073 c=3.837 alpha=90.00 beta=90.00 gamma=90.00
Space group P4/mmm (No. 123)
Unique sites:
Ta  0.000  0.500  0.000 [2 per cell]
Al  0.000  0.000  0.500 [1 per cell]
Co  0.500  0.500  0.500 [1 per cell]
H  0.500  0.500  0.000 [1 per cell]

=====

## CeNp2PaSb4 (PBE-GGA)

Data for a relaxed CeNp2PaSb4 crystal.

Total energy = -7.71 eV/atom
M_tot = 10.10 Bohr magnetons per cell

Unit cell a=7.572 b=4.440 c=7.704 alpha=90.00 beta=109.74 gamma=90.00
Space group P2/m (No. 10)
Unique sites:
Ce  0.000  0.000  0.000 [1 per cell]
Np  0.500  0.000  0.500 [1 per cell]
Np  0.500  0.500  0.000 [1 per cell]
Pa  0.000  0.500  0.500 [1 per cell]
Sb  0.250  0.000  0.746 [2 per cell]
Sb  0.252  0.500  0.255 [2 per cell]